No. 1
The following is a PBE calculation of crystalline P3ICl at its relaxed geometry, from Alexandria.

Cell and atoms, written as extended XYZ:
```
5
Lattice="4.7896 0.0000 0.0000 0.0000 4.7896 0.0000 0.0000 0.0000 4.7896" Properties=species:S:1:pos:R:3 pbc="T T T"
P 0.0000 0.0000 2.3948
P 0.0000 2.3948 0.0000
P 2.3948 0.0000 0.0000
I 2.3948 2.3948 2.3948
Cl 0.0000 0.0000 0.0000
```

=====

No. 2
The following is a PBE calculation of crystalline P2ICl at its relaxed geometry, from Alexandria.

Cell and atoms, written as extended XYZ:
```
4
Lattice="0.0000 3.4574 3.4574 3.4574 0.0000 3.4574 3.4574 3.4574 0.0000" Properties=species:S:1:pos:R:3 pbc="T T T"
P 1.7287 1.7287 1.7287
P 5.1861 5.1861 5.1861
I 0.0000 0.0000 0.0000
Cl 3.4574 3.4574 3.4574
```

=====

No. 3
The following is a PBE calculation of crystalline PICl2 at its relaxed geometry, from Alexandria.

Cell and atoms, written as extended XYZ:
```
4
Lattice="0.0000 3.5859 3.5859 3.5859 0.0000 3.5859 3.5859 3.5859 0.0000" Properties=species:S:1:pos:R:3 pbc="T T T"
P 0.0000 0.0000 0.0000
I 3.5859 3.5859 3.5859
Cl 1.7929 1.7929 1.7929
Cl 5.3788 5.3788 5.3788
```

=====

Result set for E_form (uncorrected): 7.395 4.006 3.477 eV per formula unit, one per record in the order listed.
Result set for energy above the lowest structure with this stoichiometry: 0.0 95.9 1337.0 meV/atom, one per record in the order listed.